Record 1
Density functional theory data (GGA-PBE) for a geometry-optimized Tb6Pm3Ho2 structure.

Unit cell a=4.7594 b=4.7594 c=16.9898 alpha=98.05 beta=98.05 gamma=90.00
Fractional positions:
Tb (0.1203, 0.6203, 0.2405)
Tb (0.6203, 0.1203, 0.2405)
Tb (0.8797, 0.3797, 0.7595)
Tb (0.3797, 0.8797, 0.7595)
Tb (0.6947, 0.6947, 0.3894)
Tb (0.3053, 0.3053, 0.6106)
Pm (0.0000, 0.0000, 0.0000)
Pm (0.7981, 0.7981, 0.5963)
Pm (0.2019, 0.2019, 0.4037)
Ho (0.4541, 0.4541, 0.9082)
Ho (0.5459, 0.5459, 0.0918)

Summary:
- Excess energy over the best structure of this formula in the dataset: 260 meV/atom
- N(E_F): 16.88 states/eV/f.u.
- Calculated formation energy: 6.4 kcal/mol of atoms
- Symmetry: No. 139
- Raw total energy: -0.16088 hartree per atom

Record 2
Density functional theory data (GGA-PBE) for a geometry-optimized Er8TcNi2 structure.

Unit cell a=5.6811 b=7.4653 c=7.4653 alpha=113.89 beta=99.81 gamma=99.81
Fractional positions:
Er (0.5787, 0.3316, 0.0792)
Er (0.5787, 0.0792, 0.3316)
Er (0.1732, 0.3652, 0.3652)
Er (0.9908, 0.2172, 0.7814)
Er (0.9908, 0.7814, 0.2172)
Er (0.8153, 0.6437, 0.6437)
Er (0.3912, 0.9262, 0.6734)
Er (0.3912, 0.6734, 0.9262)
Tc (0.0981, 0.0048, 0.0048)
Ni (0.4958, 0.6981, 0.3132)
Ni (0.4958, 0.3132, 0.6981)

Summary:
- Excess energy over the best structure of this formula in the dataset: 73 meV/atom
- N(E_F): 11.22 states/eV/f.u.
- Calculated formation energy: -2.6 kcal/mol of atoms
- Symmetry: No. 8
- Raw total energy: -0.19940 hartree per atom

Record 3
Density functional theory data (GGA-PBE) for a geometry-optimized PuCdGe2 structure.

Unit cell a=4.9374 b=4.9374 c=4.9374 alpha=60.00 beta=60.00 gamma=60.00
Last column: magnetic moment on the atom in μB.
Fractional positions:
Ge (0.2500, 0.2500, 0.2500)  -0.02
Ge (0.7500, 0.7500, 0.7500)  -0.02
Cd (0.5000, 0.5000, 0.5000)  0.01
Pu (0.0000, 0.0000, 0.0000)  -5.33

Summary:
- Excess energy over the best structure of this formula in the dataset: 132 meV/atom
- N(E_F): 9.27 states/eV/f.u.
- Calculated formation energy: -3.1 kcal/mol of atoms
- Symmetry: No. 225
- Raw total energy: -0.22993 hartree per atom

Record 4
Density functional theory data (GGA-PBE) for a geometry-optimized LiZn2Au structure.

Unit cell a=3.1394 b=3.1395 c=6.1144 alpha=90.00 beta=90.00 gamma=90.01
Fractional positions:
Zn (0.0000, 0.0000, 0.9920)
Zn (0.5000, 0.5000, 0.2415)
Au (0.0000, 0.0000, 0.5148)
Li (0.5000, 0.5000, 0.7517)

Summary:
- Excess energy over the best structure of this formula in the dataset: 98 meV/atom
- N(E_F): 1.26 states/eV/f.u.
- Calculated formation energy: -6.1 kcal/mol of atoms
- Symmetry: No. 99
- Raw total energy: -0.08079 hartree per atom

Record 5
Density functional theory data (GGA-PBE) for a geometry-optimized Ba5Sn2H structure.

Unit cell a=8.0285 b=8.0285 c=7.6528 alpha=121.64 beta=121.64 gamma=90.00
Last column: magnetic moment on the atom in μB.
Fractional positions:
Ba (0.7587, 0.2495, 0.0081)  0.06
Ba (0.2494, 0.2494, 0.0081)  0.06
Ba (0.7587, 0.7587, 0.0082)  0.06
Ba (0.2494, 0.7587, 0.0081)  0.06
Ba (0.7512, 0.7512, 0.5024)  0.10
Sn (0.2552, 0.7551, 0.5103)  0.01
Sn (0.7551, 0.2551, 0.5103)  0.01
H (0.9993, 0.9993, 0.9986)  0.00

Summary:
- N(E_F): 5.25 states/eV/f.u.
- Symmetry: No. 107
- Raw total energy: -0.10826 hartree per atom

Record 6
Density functional theory data (GGA-PBE) for a geometry-optimized Nd3CdIr structure.

Unit cell a=6.8402 b=9.6077 c=9.6117 alpha=117.17 beta=90.00 gamma=90.00
Fractional positions:
Nd (0.0001, 0.7981, 0.7020)
Nd (0.9999, 0.2019, 0.2980)
Nd (0.5001, 0.7019, 0.7980)
Nd (0.4999, 0.2981, 0.2020)
Nd (0.5000, 0.6994, 0.4180)
Nd (0.5000, 0.3006, 0.5820)
Nd (0.0000, 0.8006, 0.0820)
Nd (0.0000, 0.1994, 0.9180)
Nd (0.0000, 0.5824, 0.3009)
Nd (0.0000, 0.4176, 0.6991)
Nd (0.5000, 0.9176, 0.1991)
Nd (0.5000, 0.0824, 0.8009)
Cd (0.7972, 0.0000, 0.5001)
Cd (0.2028, 0.0000, 0.4999)
Cd (0.2972, 0.5000, 0.9999)
Cd (0.7028, 0.5000, 0.0001)
Ir (0.2500, 0.4999, 0.4999)
Ir (0.7500, 0.5001, 0.5001)
Ir (0.7500, 0.0001, 0.0001)
Ir (0.2500, 0.9999, 0.9999)

Summary:
- Excess energy over the best structure of this formula in the dataset: 0 meV/atom
- N(E_F): 4.64 states/eV/f.u.
- Calculated formation energy: -9.7 kcal/mol of atoms
- Symmetry: No. 69
- Raw total energy: -0.19251 hartree per atom

Record 7
Density functional theory data (GGA-PBE) for a geometry-optimized ZrZn2SbC structure.

Unit cell a=5.3559 b=4.1018 c=5.3559 alpha=90.00 beta=90.00 gamma=90.00
Fractional positions:
Sb (0.5000, 0.5000, 0.5000)
Zn (0.0000, 0.0000, 0.5000)
Zn (0.5000, 0.0000, 0.0000)
C (0.0000, 0.5000, 0.0000)
Zr (0.0000, 0.0000, 0.0000)

Summary:
- Formation energy from raw total energies: 1.1373 eV per atom
- N(E_F): 4.01 states/eV/f.u.
- Symmetry: No. 123
- Raw total energy: -0.13785 hartree per atom

Record 8
Density functional theory data (GGA-PBE) for a geometry-optimized SrPaHgBr6 structure.

Unit cell a=7.7267 b=7.7267 c=17.9017 alpha=90.00 beta=90.00 gamma=120.00
Last column: magnetic moment on the atom in μB.
Fractional positions:
Sr (0.3333, 0.6667, 0.2500)  0.00
Sr (0.6667, 0.3333, 0.7500)  0.00
Pa (0.6667, 0.3333, 0.2500)  1.07
Pa (0.3333, 0.6667, 0.7500)  1.07
Hg (0.0000, 0.0000, 0.0000)  0.00
Hg (0.0000, 0.0000, 0.5000)  0.00
Br (0.6460, 0.6204, 0.1588)  -0.01
Br (0.9745, 0.3540, 0.1588)  -0.01
Br (0.3540, 0.9745, 0.6588)  -0.01
Br (0.0255, 0.6460, 0.8412)  -0.01
Br (0.3796, 0.3540, 0.3412)  -0.01
Br (0.9745, 0.6204, 0.3412)  -0.01
Br (0.6204, 0.9745, 0.8412)  -0.01
Br (0.6460, 0.0255, 0.3412)  -0.01
Br (0.0255, 0.3796, 0.6588)  -0.01
Br (0.3796, 0.0255, 0.1588)  -0.01
Br (0.6204, 0.6460, 0.6588)  -0.01
Br (0.3540, 0.3796, 0.8412)  -0.01

Summary:
- Formation energy from raw total energies: -1.5104 eV per atom
- N(E_F): 0.55 states/eV/f.u.
- Symmetry: No. 163
- Raw total energy: -0.14337 hartree per atom